No. 1
DFT (PBE) results for a relaxed structure of SmIn3Cu3.

E, eV for the cell shown: -46.065

The structure in CIF format:
```
data_SmIn3Cu3
_space_group_name_H-M_alt 'P m -3 n'
_space_group_IT_number 223
_space_group_name_Hall '-P 4n 2 3'
_cell_length_a 7.061
_cell_length_b 7.061
_cell_length_c 7.061
_cell_angle_alpha 90.00
_cell_angle_beta 90.00
_cell_angle_gamma 90.00
loop_
_atom_site_label
_atom_site_type_symbol
_atom_site_fract_x
_atom_site_fract_y
_atom_site_fract_z
_atom_site_occupancy
Sm1 Sm 0.000 0.000 0.000 1
In1 In 0.000 0.250 0.500 1
Cu1 Cu 0.000 0.500 0.250 1
```


No. 2
DFT (PBE) results for a relaxed structure of Sm12In3Cu.

E, eV for the cell shown: -71.656

The structure in CIF format:
```
data_Sm12In3Cu
_space_group_name_H-M_alt 'P 4/m m m'
_space_group_IT_number 123
_space_group_name_Hall '-P 4 2'
_cell_length_a 4.923
_cell_length_b 4.923
_cell_length_c 19.393
_cell_angle_alpha 90.00
_cell_angle_beta 90.00
_cell_angle_gamma 90.00
loop_
_atom_site_label
_atom_site_type_symbol
_atom_site_fract_x
_atom_site_fract_y
_atom_site_fract_z
_atom_site_occupancy
Sm1 Sm 0.000 0.000 0.000 1
Sm2 Sm 0.000 0.000 0.242 1
Sm3 Sm 0.000 0.000 0.500 1
Sm4 Sm 0.000 0.500 0.117 1
Sm5 Sm 0.000 0.500 0.372 1
In1 In 0.500 0.500 0.245 1
In2 In 0.500 0.500 0.500 1
Cu1 Cu 0.500 0.500 0.000 1
```


No. 3
DFT (PBE) results for a relaxed structure of SmInCu10.

E, eV for the cell shown: -49.209

The structure in CIF format:
```
data_SmInCu10
_space_group_name_H-M_alt 'P m m m'
_space_group_IT_number 47
_space_group_name_Hall '-P 2 2'
_cell_length_a 4.113
_cell_length_b 4.998
_cell_length_c 8.683
_cell_angle_alpha 90.00
_cell_angle_beta 90.00
_cell_angle_gamma 90.00
loop_
_atom_site_label
_atom_site_type_symbol
_atom_site_fract_x
_atom_site_fract_y
_atom_site_fract_z
_atom_site_occupancy
Sm1 Sm 0.000 0.000 0.000 1
In1 In 0.000 0.500 0.500 1
Cu1 Cu 0.000 0.000 0.343 1
Cu2 Cu 0.000 0.500 0.179 1
Cu3 Cu 0.500 0.000 0.500 1
Cu4 Cu 0.500 0.248 0.250 1
Cu5 Cu 0.500 0.500 0.000 1
```


No. 4
DFT (PBE) results for a relaxed structure of Sm2InCu9.

E, eV for the cell shown: -150.241

The structure in CIF format:
```
data_Sm2InCu9
_space_group_name_H-M_alt 'R -3 m'
_space_group_IT_number 166
_space_group_name_Hall '-R 3 2"'
_cell_length_a 5.1331
_cell_length_b 5.1331
_cell_length_c 25.1547
_cell_angle_alpha 90.00
_cell_angle_beta 90.00
_cell_angle_gamma 120.00
loop_
_atom_site_label
_atom_site_type_symbol
_atom_site_fract_x
_atom_site_fract_y
_atom_site_fract_z
_atom_site_occupancy
Sm1 Sm 0.0000 0.0000 0.1359 1
In1 In 0.0000 0.0000 0.0000 1
Cu1 Cu 0.0000 0.0000 0.3329 1
Cu2 Cu 0.0000 0.0000 0.5000 1
Cu3 Cu 0.0015 0.5008 0.9190 1
```


No. 5
DFT (PBE) results for a relaxed structure of SmIn3Cu8.

Offset from the most stable computed form, eV/f.u.: 0.26
E, eV for the cell shown: -46.989

The structure in CIF format:
```
data_SmIn3Cu8
_space_group_name_H-M_alt 'P 3 m 1'
_space_group_IT_number 156
_space_group_name_Hall 'P 3 -2"'
_cell_length_a 5.0876
_cell_length_b 5.0876
_cell_length_c 8.5305
_cell_angle_alpha 90.00
_cell_angle_beta 90.00
_cell_angle_gamma 120.00
loop_
_atom_site_label
_atom_site_type_symbol
_atom_site_fract_x
_atom_site_fract_y
_atom_site_fract_z
_atom_site_occupancy
Sm1 Sm 0.0000 0.0000 0.0000 1
In1 In 0.0000 0.0000 0.3747 1
In2 In 0.6667 0.3333 0.4920 1
In3 In 0.6667 0.3333 0.8570 1
Cu1 Cu 0.1656 0.3311 0.6768 1
Cu2 Cu 0.3333 0.6667 0.4319 1
Cu3 Cu 0.3333 0.6667 0.9241 1
Cu4 Cu 0.5005 0.0010 0.1881 1
```


No. 6
DFT (PBE) results for a relaxed structure of Sm12InCu6.

E, eV for the cell shown: -173.664

The structure in CIF format:
```
data_Sm12InCu6
_space_group_name_H-M_alt 'I m -3'
_space_group_IT_number 204
_space_group_name_Hall '-I 2 2 3'
_cell_length_a 10.091
_cell_length_b 10.091
_cell_length_c 10.091
_cell_angle_alpha 90.00
_cell_angle_beta 90.00
_cell_angle_gamma 90.00
loop_
_atom_site_label
_atom_site_type_symbol
_atom_site_fract_x
_atom_site_fract_y
_atom_site_fract_z
_atom_site_occupancy
Sm1 Sm 0.000 0.188 0.299 1
In1 In 0.000 0.000 0.000 1
Cu1 Cu 0.000 0.378 0.500 1
```


No. 7
DFT (PBE) results for a relaxed structure of Sm2InCu.

E, eV for the cell shown: -46.996

The structure in CIF format:
```
data_Sm2InCu
_space_group_name_H-M_alt 'R -3 m'
_space_group_IT_number 166
_space_group_name_Hall '-R 3 2"'
_cell_length_a 3.5050
_cell_length_b 3.5050
_cell_length_c 32.4547
_cell_angle_alpha 90.00
_cell_angle_beta 90.00
_cell_angle_gamma 120.00
loop_
_atom_site_label
_atom_site_type_symbol
_atom_site_fract_x
_atom_site_fract_y
_atom_site_fract_z
_atom_site_occupancy
Sm1 Sm 0.0000 0.0000 0.1013 1
In1 In 0.0000 0.0000 0.0000 1
Cu1 Cu 0.0000 0.0000 0.5000 1
```


No. 8
DFT (PBE) results for a relaxed structure of Sm5InCu4.

E, eV for the cell shown: -45.063

The structure in CIF format:
```
data_Sm5InCu4
_space_group_name_H-M_alt 'P 4/m m m'
_space_group_IT_number 123
_space_group_name_Hall '-P 4 2'
_cell_length_a 3.558
_cell_length_b 3.558
_cell_length_c 18.528
_cell_angle_alpha 90.00
_cell_angle_beta 90.00
_cell_angle_gamma 90.00
loop_
_atom_site_label
_atom_site_type_symbol
_atom_site_fract_x
_atom_site_fract_y
_atom_site_fract_z
_atom_site_occupancy
Sm1 Sm 0.000 0.000 0.000 1
Sm2 Sm 0.000 0.000 0.191 1
Sm3 Sm 0.000 0.000 0.382 1
In1 In 0.500 0.500 0.500 1
Cu1 Cu 0.500 0.500 0.095 1
Cu2 Cu 0.500 0.500 0.286 1
```


No. 9
DFT (PBE) results for a relaxed structure of Sm2InCu.

E, eV for the cell shown: -17.570

The structure in CIF format:
```
data_Sm2InCu
_space_group_name_H-M_alt 'P 4/m m m'
_space_group_IT_number 123
_space_group_name_Hall '-P 4 2'
_cell_length_a 3.597
_cell_length_b 3.597
_cell_length_c 7.818
_cell_angle_alpha 90.00
_cell_angle_beta 90.00
_cell_angle_gamma 90.00
loop_
_atom_site_label
_atom_site_type_symbol
_atom_site_fract_x
_atom_site_fract_y
_atom_site_fract_z
_atom_site_occupancy
Sm1 Sm 0.000 0.000 0.224 1
In1 In 0.500 0.500 0.500 1
Cu1 Cu 0.500 0.500 0.000 1
```


No. 10
DFT (PBE) results for a relaxed structure of Sm5In4Cu.

E, eV for the cell shown: -42.923

The structure in CIF format:
```
data_Sm5In4Cu
_space_group_name_H-M_alt 'P 4/m m m'
_space_group_IT_number 123
_space_group_name_Hall '-P 4 2'
_cell_length_a 3.613
_cell_length_b 3.613
_cell_length_c 20.684
_cell_angle_alpha 90.00
_cell_angle_beta 90.00
_cell_angle_gamma 90.00
loop_
_atom_site_label
_atom_site_type_symbol
_atom_site_fract_x
_atom_site_fract_y
_atom_site_fract_z
_atom_site_occupancy
Sm1 Sm 0.000 0.000 0.000 1
Sm2 Sm 0.000 0.000 0.208 1
Sm3 Sm 0.000 0.000 0.415 1
In1 In 0.500 0.500 0.104 1
In2 In 0.500 0.500 0.312 1
Cu1 Cu 0.500 0.500 0.500 1
```


No. 11
DFT (PBE) results for a relaxed structure of Sm5In2Cu2.

E, eV for the cell shown: -156.950

The structure in CIF format:
```
data_Sm5In2Cu2
_space_group_name_H-M_alt 'C m c e'
_space_group_IT_number 64
_space_group_name_Hall '-C 2ac 2'
_cell_length_a 15.942
_cell_length_b 8.711
_cell_length_c 7.172
_cell_angle_alpha 90.00
_cell_angle_beta 90.00
_cell_angle_gamma 90.00
loop_
_atom_site_label
_atom_site_type_symbol
_atom_site_fract_x
_atom_site_fract_y
_atom_site_fract_z
_atom_site_occupancy
Sm1 Sm 0.000 0.000 0.000 1
Sm2 Sm 0.125 0.187 0.343 1
In1 In 0.214 0.000 0.000 1
Cu1 Cu 0.000 0.110 0.622 1
```


No. 12
DFT (PBE) results for a relaxed structure of SmIn3Cu2.

E, eV for the cell shown: -89.999

The structure in CIF format:
```
data_SmIn3Cu2
_space_group_name_H-M_alt 'I m m m'
_space_group_IT_number 71
_space_group_name_Hall '-I 2 2'
_cell_length_a 4.373
_cell_length_b 8.351
_cell_length_c 14.131
_cell_angle_alpha 90.00
_cell_angle_beta 90.00
_cell_angle_gamma 90.00
loop_
_atom_site_label
_atom_site_type_symbol
_atom_site_fract_x
_atom_site_fract_y
_atom_site_fract_z
_atom_site_occupancy
Sm1 Sm 0.000 0.000 0.128 1
In1 In 0.000 0.199 0.331 1
In2 In 0.000 0.334 0.000 1
Cu1 Cu 0.000 0.354 0.500 1
Cu2 Cu 0.000 0.500 0.202 1
```